# 1
A PBEsol-optimized structure of BaMn2As. Source: Alexandria via LeMat-Bulk, functional SCAN.

POSCAR file:
```
BaMn2As
1.0
3.333 0.000 0.000
0.000 3.333 0.000
0.000 0.000 7.459
Ba Mn As
1 2 1
Cartesian
0.000 0.000 0.000
0.000 0.000 3.962
1.666 1.666 2.530
1.666 1.666 4.988
```

Computed properties:
ΔE_f, eV per atom: -0.150
Uncorrected energy, eV per atom: -24.21
DOS(E_F), states/eV per atom: 0.619

=====

# 2
A PBEsol-optimized structure of BaZrMn2As. Source: Alexandria via LeMat-Bulk, functional SCAN.

POSCAR file:
```
BaZrMn2As
1.0
4.734 0.000 0.000
0.000 4.734 0.000
0.000 0.000 6.006
Ba Zr Mn As
1 1 2 1
Cartesian
0.000 0.000 0.000
0.000 0.000 3.003
0.000 2.367 3.003
2.367 0.000 3.003
2.367 2.367 0.000
```

Computed properties:
ΔE_f, eV per atom: 0.911
Uncorrected energy, eV per atom: -24.48
DOS(E_F), states/eV per atom: 0.533

=====

# 3
A PBEsol-optimized structure of BaMoAs2. Source: Alexandria via LeMat-Bulk, functional SCAN.

POSCAR file:
```
BaMoAs2
1.0
3.554 0.000 0.000
0.000 3.554 0.000
0.000 0.000 7.918
Ba Mo As
1 1 2
Cartesian
0.000 0.000 0.000
1.777 1.777 3.584
0.000 0.000 3.208
1.777 1.777 5.944
```

Computed properties:
ΔE_f, eV per atom: -0.017
E above lowest polymorph, meV/atom: 370.0
Uncorrected energy, eV per atom: -28.72
DOS(E_F), states/eV per atom: 0.790

=====

# 4
A PBEsol-optimized structure of BaMoAs2. Source: Alexandria via LeMat-Bulk, functional SCAN.

POSCAR file:
```
BaMoAs2
1.0
4.699 0.000 0.000
0.000 3.724 0.000
0.000 0.000 12.261
Ba Mo As
2 2 4
Cartesian
0.000 0.000 0.000
0.000 1.862 6.130
2.350 0.000 2.979
2.350 1.862 9.110
0.000 0.000 3.443
0.000 1.862 9.573
2.350 0.000 7.505
2.350 1.862 1.375
```

Computed properties:
ΔE_f, eV per atom: -0.281
E above lowest polymorph, meV/atom: 105.4
Uncorrected energy, eV per atom: -28.99
DOS(E_F), states/eV per atom: 0.482